P2Ru2SeN: relaxed, PBE-GGA.

Values from the calculation:
energy above the lowest structure with this stoichiometry	0.087	eV/atom
calculated volume	91.7	Å³ per cell
VASP energy	-6.9980	eV per atom
formation energy from raw total energies	-78	kJ/mol of formula units

Cell lengths 5.1541, 3.4674, 5.2312 Å; angles 90.00, 101.26, 90.00 degrees
Atoms (fractional coordinates):
P (0.0000, 0.0000, 0.0000)
P (0.4688, 0.5000, 0.7667)
Ru (0.1769, 0.0000, 0.6347)
Ru (0.5774, 0.0000, 0.0750)
Se (0.7714, 0.5000, 0.4539)
N (0.2351, 0.0000, 0.2482)